The following is a GGA+U calculation of Li3Fe4CuO8 after structural relaxation, from Alexandria via LeMat-Bulk.

Cell and atoms, written as POSCAR:
```
Li3Fe4CuO8
1.0
-1.748 0.808 -5.676
-5.691 -1.024 -1.579
-3.615 4.618 -1.414
Fe O Cu Li
4 8 1 3
Cartesian
-5.527 2.201 -4.335 Fe
-2.681 2.713 -3.545 Fe
-4.653 1.797 -1.497 Fe
0.000 0.000 0.000 Fe
-8.179 3.277 -6.406 O
-6.492 1.076 -5.766 O
-2.874 1.124 -2.263 O
-7.403 2.795 -3.696 O
-5.622 0.690 -2.924 O
-5.431 3.711 -5.745 O
-3.651 1.606 -4.973 O
-4.561 3.325 -2.903 O
-3.719 -0.108 -3.627 Cu
-2.845 -0.512 -0.789 Li
-0.874 0.404 -2.838 Li
-1.808 2.309 -0.707 Li
```

Calculated values
V: 9.563 Å³ per atom
size of the total moment: 20.004 μB/f.u.
energy: -0.44062 Ry per atom